# NdLuSn2, relaxed, DFT PBE-GGA
data_NdLuSn2
_cell_length_a 4.881
_cell_length_b 4.881
_cell_length_c 4.508
_cell_angle_alpha 90.00
_cell_angle_beta 90.00
_cell_angle_gamma 90.00
_space_group_name_H-M_alt 'P 4/m m m'
_space_group_IT_number 123
_space_group_name_Hall '-P 4 2'
loop_
_atom_site_label
_atom_site_type_symbol
_atom_site_fract_x
_atom_site_fract_y
_atom_site_fract_z
_atom_site_occupancy
Nd1 Nd 0.000 0.000 0.000 1
Lu1 Lu 0.500 0.500 0.000 1
Sn1 Sn 0.000 0.500 0.500 1
# E_tot	-4.92	eV per atom
# ΔH_f (0 K)	-57.9	kJ per mole of atoms